Run 1
First-principles (PBE) data for a relaxed Zn2NCl crystal, as listed in OQMD via LeMat-Bulk.

```
Zn2NCl
1.0
-3.100 -3.960 3.503
-5.124 2.948 1.617
2.395 -0.823 -5.582
Cl N Zn
2 2 4
direct
0.000 0.000 0.000
0.750 0.250 0.500
0.500 0.500 0.000
0.250 0.750 0.500
0.875 0.497 0.122
0.503 0.625 0.378
0.247 0.125 0.622
0.375 0.753 0.878
```


Run 2
First-principles (PBE) data for a relaxed Zn2NCl crystal, as listed in OQMD via LeMat-Bulk.

```
Zn2NCl
1.0
6.154 0.000 0.000
0.000 6.024 0.000
0.000 0.000 7.489
Cl N Zn
4 4 8
direct
0.907 0.750 0.113
0.407 0.750 0.387
0.593 0.250 0.613
0.093 0.250 0.887
0.587 0.250 0.129
0.087 0.250 0.371
0.913 0.750 0.629
0.413 0.750 0.871
0.500 0.000 0.000
0.500 0.500 0.000
0.899 0.250 0.162
0.399 0.250 0.338
0.000 0.000 0.500
0.000 0.500 0.500
0.601 0.750 0.662
0.101 0.750 0.838
```


run 2 is preferred energetically. Next in line: 0.016 eV/atom higher.


Run 1
First-principles (PBE) data for a relaxed Na2NiCl6 crystal, as listed in OQMD via LeMat-Bulk.

```
Na2NiCl6
1.0
3.021 -1.355 5.619
5.177 3.482 -1.900
-5.936 2.702 0.036
Cl Na Ni
6 2 1
direct
0.241 0.241 0.000
0.759 0.759 0.000
0.825 0.296 0.121
0.296 0.175 0.470
0.704 0.825 0.530
0.175 0.704 0.879
0.750 0.250 0.500
0.250 0.750 0.500
0.000 0.000 0.000
```

Output
The magnetic moment is 0.01 Bohr magnetons per cell.


Run 2
First-principles (PBE) data for a relaxed Na2NiCl6 crystal, as listed in OQMD via LeMat-Bulk.

```
Na2NiCl6
1.0
6.130 1.901 -1.461
2.075 -2.165 5.859
-3.247 -4.050 -4.048
Cl Na Ni
6 2 1
direct
0.239 0.239 0.000
0.760 0.240 0.000
0.240 0.760 0.000
0.761 0.761 0.000
0.240 0.240 0.479
0.760 0.760 0.521
0.750 0.250 0.500
0.250 0.750 0.500
0.000 0.000 0.000
```

Output
The magnetic moment is 0.00 Bohr magnetons per cell.


Run 3
First-principles (PBE) data for a relaxed Na2NiCl6 crystal, as listed in OQMD via LeMat-Bulk.

```
Na2NiCl6
1.0
6.509 0.000 0.000
0.000 6.772 0.000
-6.353 0.000 9.081
Cl Na Ni
12 4 2
direct
0.221 0.778 0.044
0.329 0.317 0.050
0.141 0.486 0.238
0.859 0.986 0.262
0.671 0.817 0.450
0.779 0.278 0.456
0.221 0.722 0.544
0.329 0.183 0.550
0.141 0.014 0.738
0.859 0.514 0.762
0.671 0.683 0.950
0.779 0.222 0.956
0.721 0.585 0.241
0.279 0.085 0.259
0.721 0.915 0.741
0.279 0.415 0.759
0.000 0.500 0.000
0.000 0.000 0.500
```

Output
The magnetic moment is 0.02 Bohr magnetons per cell.


run 3 is preferred energetically. Next in line: 0.023 eV/atom higher.


Run 1
First-principles (PBE) data for a relaxed Na2PdCl4 crystal, as listed in OQMD via LeMat-Bulk.

```
Na2PdCl4
1.0
-4.627 3.595 -3.080
-4.461 1.395 4.688
4.043 6.771 1.831
Cl Na Pd
8 4 2
direct
0.276 0.276 0.000
0.724 0.724 0.000
0.692 0.308 0.215
0.192 0.808 0.285
0.224 0.224 0.500
0.776 0.776 0.500
0.808 0.192 0.715
0.308 0.692 0.785
0.011 0.489 0.250
0.511 0.989 0.250
0.489 0.011 0.750
0.989 0.511 0.750
0.500 0.500 0.000
0.000 0.000 0.500
```


Run 2
First-principles (PBE) data for a relaxed Na2PdCl4 crystal, as listed in OQMD via LeMat-Bulk.

```
Na2PdCl4
1.0
-2.776 -4.338 -4.412
4.559 1.836 -4.673
2.279 -2.658 1.179
Cl Na Pd
4 2 1
direct
0.242 0.242 0.000
0.758 0.242 0.000
0.242 0.758 0.000
0.758 0.758 0.000
0.500 0.000 0.500
0.000 0.500 0.500
0.000 0.000 0.000
```


run 1 is preferred energetically. Next in line: 0.016 eV/atom higher.


Run 1
First-principles (PBE) data for a relaxed PrNdCl6 crystal, as listed in OQMD via LeMat-Bulk.

```
PrNdCl6
1.0
8.696 0.000 0.000
0.000 2.011 6.241
0.000 -2.011 6.241
Cl Nd Pr
6 1 1
direct
0.183 0.152 0.152
0.817 0.152 0.152
0.000 0.410 0.410
0.500 0.589 0.589
0.315 0.849 0.849
0.685 0.849 0.849
0.000 0.758 0.758
0.500 0.242 0.242
```

Output
The magnetic moment is 0.00 Bohr magnetons per cell.


Run 2
First-principles (PBE) data for a relaxed PrNdCl6 crystal, as listed in OQMD via LeMat-Bulk.

```
PrNdCl6
1.0
-6.928 2.862 0.091
2.490 -3.595 -6.089
-1.509 -3.702 1.569
Cl Nd Pr
6 1 1
direct
0.363 0.419 0.000
0.056 0.637 0.000
0.581 0.944 0.000
0.276 0.030 0.500
0.970 0.246 0.500
0.754 0.724 0.500
0.000 0.000 0.000
0.333 0.667 0.500
```

Output
The magnetic moment is 0.00 Bohr magnetons per cell.


run 2 is preferred energetically. Next in line: 0.016 eV/atom higher.